(1)
## PrHf4Se8 (PBE)

Data for crystalline PrHf4Se8 at its relaxed geometry.

## Properties
N(E_F)	5.82	states/eV/f.u.

Unit cell a=8.2206 b=8.2206 c=8.2206 alpha=54.59 beta=54.59 gamma=54.59
With the nearest neighbours (Å) after each atom.
Element x y z (fractional)
Pr: 0.0000 0.0000 0.0000  6 Se 2.92
Hf: 0.0000 0.0000 0.5000  6 Se 2.68-2.74
Hf: 0.0000 0.5000 0.0000  6 Se 2.68-2.74
Hf: 0.5000 0.0000 0.0000  6 Se 2.68-2.74
Hf: 0.5000 0.5000 0.5000  6 Se 2.66
Se: 0.2416 0.2416 0.2416  3 Hf 2.68
Se: 0.2539 0.7390 0.7390  3 Hf 2.66-2.74, 1 Pr 2.92
Se: 0.2610 0.2610 0.7461  3 Hf 2.66-2.74, 1 Pr 2.92
Se: 0.2610 0.7461 0.2610  3 Hf 2.66-2.74, 1 Pr 2.92
Se: 0.7390 0.2539 0.7390  3 Hf 2.66-2.74, 1 Pr 2.92
Se: 0.7390 0.7390 0.2539  3 Hf 2.66-2.74, 1 Pr 2.92
Se: 0.7461 0.2610 0.2610  3 Hf 2.66-2.74, 1 Pr 2.92
Se: 0.7584 0.7584 0.7584  3 Hf 2.68



(2)
## PrHfSe2 (PBE)

Data for crystalline PrHfSe2 at its relaxed geometry.

## Properties
N(E_F)	3.69	states/eV/f.u.

Unit cell a=9.4427 b=9.4427 c=9.4427 alpha=22.90 beta=22.90 gamma=22.90
With the nearest neighbours (Å) after each atom.
Element x y z (fractional)
Pr: 0.0000 0.0000 0.0000  2 Se 2.98
Hf: 0.5000 0.5000 0.5000  6 Se 2.70
Se: 0.1082 0.1082 0.1082  3 Hf 2.70, 1 Pr 2.98
Se: 0.8918 0.8918 0.8918  3 Hf 2.70, 1 Pr 2.98



(3)
## Pr6HfSe12 (PBE)

Data for crystalline Pr6HfSe12 at its relaxed geometry.

## Properties
N(E_F)	14.30	states/eV/f.u.

Unit cell a=8.4034 b=8.4034 c=8.4034 alpha=98.77 beta=98.77 gamma=98.77
With the nearest neighbours (Å) after each atom.
Element x y z (fractional)
Pr: 0.1337 0.2941 0.6349  7 Se 2.97-3.12
Pr: 0.2941 0.6349 0.1337  7 Se 2.97-3.12
Pr: 0.3651 0.8663 0.7059  7 Se 2.97-3.12
Pr: 0.6349 0.1337 0.2941  7 Se 2.97-3.12
Pr: 0.7059 0.3651 0.8663  7 Se 2.97-3.12
Pr: 0.8663 0.7059 0.3651  7 Se 2.97-3.12
Hf: 0.0000 0.0000 0.0000  6 Se 2.67
Se: 0.0250 0.9356 0.6851  1 Hf 2.67
Se: 0.0644 0.3149 0.9750  1 Hf 2.67
Se: 0.1801 0.5770 0.4415  4 Pr 2.97-3.09
Se: 0.3149 0.9750 0.0644  1 Hf 2.67
Se: 0.4230 0.5585 0.8199  4 Pr 2.97-3.09
Se: 0.4415 0.1801 0.5770  4 Pr 2.97-3.09
Se: 0.5585 0.8199 0.4230  4 Pr 2.97-3.09
Se: 0.5770 0.4415 0.1801  4 Pr 2.97-3.09
Se: 0.6851 0.0250 0.9356  1 Hf 2.67
Se: 0.8199 0.4230 0.5585  4 Pr 2.97-3.09
Se: 0.9356 0.6851 0.0250  1 Hf 2.67
Se: 0.9750 0.0644 0.3149  1 Hf 2.67



(4)
## Pr3HfSe6 (PBE)

Data for crystalline Pr3HfSe6 at its relaxed geometry.

## Properties
N(E_F)	4.26	states/eV/f.u.

Unit cell a=9.2379 b=9.2379 c=7.1084 alpha=90.00 beta=90.00 gamma=102.06
With the nearest neighbours (Å) after each atom.
Element x y z (fractional)
Pr: 0.0935 0.9065 0.5000  7 Se 2.96-3.27
Pr: 0.2282 0.4175 0.4102  7 Se 2.95-3.20
Pr: 0.4175 0.2282 0.9102  7 Se 2.95-3.20
Pr: 0.5825 0.7718 0.4102  7 Se 2.95-3.20
Pr: 0.7718 0.5825 0.9102  7 Se 2.95-3.20
Pr: 0.9065 0.0935 0.0000  7 Se 2.96-3.27
Hf: 0.3030 0.6970 0.8693  4 Se 2.51-2.58
Hf: 0.6970 0.3030 0.3693  4 Se 2.51-2.58
Se: 0.0662 0.6005 0.6941  1 Hf 2.51
Se: 0.1324 0.1945 0.7058  4 Pr 2.95-2.99
Se: 0.1945 0.1324 0.2058  4 Pr 2.95-2.99
Se: 0.2753 0.7247 0.2231  1 Hf 2.55
Se: 0.3995 0.9338 0.6941  1 Hf 2.51
Se: 0.4679 0.5321 0.7259  1 Hf 2.58
Se: 0.5321 0.4679 0.2259  1 Hf 2.58
Se: 0.6005 0.0662 0.1941  1 Hf 2.51
Se: 0.7247 0.2753 0.7231  1 Hf 2.55
Se: 0.8055 0.8676 0.7058  4 Pr 2.95-2.99
Se: 0.8676 0.8055 0.2058  4 Pr 2.95-2.99
Se: 0.9338 0.3995 0.1941  1 Hf 2.51



(5)
## Pr2HfTl2Se6 (PBE)

Data for crystalline Pr2HfTl2Se6 at its relaxed geometry.

Unit cell a=7.2374 b=7.2374 c=8.1697 alpha=98.87 beta=98.87 gamma=119.46
With the nearest neighbours (Å) after each atom.
Element x y z (fractional)
Pr: 0.1672 0.8328 0.0000  6 Se 2.98-3.00
Pr: 0.8328 0.1672 0.0000  6 Se 2.98-3.00
Hf: 0.5000 0.5000 0.0000  6 Se 2.72
Tl: 0.3292 0.6708 0.5000  6 Se 3.28-3.44
Tl: 0.6708 0.3292 0.5000  6 Se 3.28-3.44
Se: 0.1239 0.4287 0.7965  1 Hf 2.72, 2 Pr 2.98-2.99
Se: 0.2687 0.2687 0.2051  1 Hf 2.72, 2 Pr 3.00
Se: 0.4287 0.1239 0.7965  1 Hf 2.72, 2 Pr 2.98-2.99
Se: 0.5713 0.8761 0.2035  1 Hf 2.72, 2 Pr 2.98-2.99
Se: 0.7313 0.7313 0.7949  1 Hf 2.72, 2 Pr 3.00
Se: 0.8761 0.5713 0.2035  1 Hf 2.72, 2 Pr 2.98-2.99



(6)
## Pr3HfTl3Se8 (PBE)

Data for crystalline Pr3HfTl3Se8 at its relaxed geometry.

Unit cell a=9.2462 b=9.2462 c=9.2462 alpha=54.61 beta=54.61 gamma=54.61
With the nearest neighbours (Å) after each atom.
Element x y z (fractional)
Pr: 0.0000 0.5000 0.5000  6 Se 2.97-3.00
Pr: 0.5000 0.0000 0.5000  6 Se 2.97-3.00
Pr: 0.5000 0.5000 0.0000  6 Se 2.97-3.00
Hf: 0.0000 0.0000 0.0000  6 Se 2.73
Tl: 0.0000 0.0000 0.5000  6 Se 3.32-3.33
Tl: 0.0000 0.5000 0.0000  6 Se 3.32-3.33
Tl: 0.5000 0.0000 0.0000  6 Se 3.32-3.33
Se: 0.2190 0.2190 0.7615  1 Hf 2.73, 2 Pr 3.00
Se: 0.2190 0.7616 0.2190  1 Hf 2.73, 2 Pr 3.00
Se: 0.2384 0.7810 0.7810  1 Hf 2.73, 2 Pr 3.00
Se: 0.2620 0.2620 0.2620  3 Pr 2.97, 3 Tl 3.32
Se: 0.7380 0.7380 0.7380  3 Pr 2.97, 3 Tl 3.32
Se: 0.7615 0.2190 0.2190  1 Hf 2.73, 2 Pr 3.00
Se: 0.7810 0.2384 0.7810  1 Hf 2.73, 2 Pr 3.00
Se: 0.7810 0.7810 0.2384  1 Hf 2.73, 2 Pr 3.00



(7)
## Pr3HfTl4Se8 (PBE)

Data for crystalline Pr3HfTl4Se8 at its relaxed geometry.

## Properties
N(E_F)	3.62	states/eV/f.u.

Unit cell a=9.2030 b=9.2030 c=9.2030 alpha=54.72 beta=54.72 gamma=54.72
With the nearest neighbours (Å) after each atom.
Element x y z (fractional)
Pr: 0.0000 0.5000 0.5000  6 Se 2.98-3.01
Pr: 0.5000 0.0000 0.5000  6 Se 2.98-3.01
Pr: 0.5000 0.5000 0.0000  6 Se 2.98-3.01
Hf: 0.0000 0.0000 0.0000  6 Se 2.75
Tl: 0.0000 0.0000 0.5000  6 Se 3.28
Tl: 0.0000 0.5000 0.0000  6 Se 3.28
Tl: 0.5000 0.0000 0.0000  6 Se 3.28
Tl: 0.5000 0.5000 0.5000  6 Se 3.51
Se: 0.2206 0.2206 0.7638  1 Hf 2.75, 2 Pr 3.01
Se: 0.2206 0.7638 0.2206  1 Hf 2.75, 2 Pr 3.01
Se: 0.2362 0.7794 0.7794  1 Hf 2.75, 2 Pr 3.01
Se: 0.2602 0.2602 0.2602  3 Pr 2.98, 3 Tl 3.28
Se: 0.7398 0.7398 0.7398  3 Pr 2.98, 3 Tl 3.28
Se: 0.7638 0.2206 0.2206  1 Hf 2.75, 2 Pr 3.01
Se: 0.7794 0.2362 0.7794  1 Hf 2.75, 2 Pr 3.01
Se: 0.7794 0.7794 0.2362  1 Hf 2.75, 2 Pr 3.01



(8)
## Pr2HfTl3Se6 (PBE)

Data for crystalline Pr2HfTl3Se6 at its relaxed geometry.

## Properties
N(E_F)	4.82	states/eV/f.u.

Unit cell a=7.2469 b=7.2469 c=8.1665 alpha=98.53 beta=98.53 gamma=119.86
With the nearest neighbours (Å) after each atom.
Element x y z (fractional)
Pr: 0.1659 0.8341 0.0000  6 Se 3.00-3.02
Pr: 0.8341 0.1659 0.0000  6 Se 3.00-3.02
Hf: 0.5000 0.5000 0.0000  6 Se 2.73-2.76
Tl: 0.0000 0.0000 0.5000  6 Se 3.26-3.46
Tl: 0.3267 0.6733 0.5000  6 Se 3.27-3.44
Tl: 0.6733 0.3267 0.5000  6 Se 3.27-3.44
Se: 0.1275 0.4316 0.7945  1 Hf 2.73, 2 Pr 3.00
Se: 0.2677 0.2677 0.2127  1 Hf 2.76, 2 Pr 3.02
Se: 0.4316 0.1275 0.7945  1 Hf 2.73, 2 Pr 3.00
Se: 0.5684 0.8725 0.2055  1 Hf 2.73, 2 Pr 3.00
Se: 0.7323 0.7323 0.7873  1 Hf 2.76, 2 Pr 3.02
Se: 0.8725 0.5684 0.2055  1 Hf 2.73, 2 Pr 3.00



no.,E (eV/atom),V (Å³ per atom)
1,-6.994,26.4
2,-6.444,28.0
3,-5.855,30.0
4,-6.156,29.7
5,-5.451,32.2
6,-5.307,32.6
7,-5.087,30.2
8,-5.156,29.6